Entry from Alexandria: a geometry-optimized Cr2CoCuO structure (PBE with a Hubbard U).

Properties
* E_tot: -5.15 eV per atom

```
data_Cr2CoCuO
_chemical_formula_sum 'Cr2 Co1 Cu1 O1'
_cell_length_a 5.051
_cell_length_b 5.051
_cell_length_c 3.500
_cell_angle_alpha 90.00
_cell_angle_beta 90.00
_cell_angle_gamma 90.00
_symmetry_space_group_name_H-M 'P 4/m m m'
_symmetry_Int_Tables_number 123
_symmetry_space_group_name_Hall '-P 4 2'
loop_
_atom_site_label
_atom_site_type_symbol
_atom_site_fract_x
_atom_site_fract_y
_atom_site_fract_z
Cr1 Cr 0.000 0.500 0.000
Co1 Co 0.000 0.000 0.500
Cu1 Cu 0.500 0.500 0.000
O1 O 0.500 0.500 0.500
```